# Dy2GaSi3Pd4 (GGA-PBE, relaxed)
data_Dy2GaSi3Pd4
_chemical_formula_sum 'Dy2 Ga1 Si3 Pd4'
_space_group_name_H-M_alt 'P -4 m 2'
_space_group_IT_number 115
_cell_length_a 4.178
_cell_length_b 4.178
_cell_length_c 10.100
_cell_angle_alpha 90.00
_cell_angle_beta 90.00
_cell_angle_gamma 90.00
loop_
_space_group_symop_operation_xyz
'x,y,z'
'y,-x,-z'
'-x,-y,z'
'-y,x,-z'
'-x,y,z'
'-y,-x,-z'
'x,-y,z'
'y,x,-z'
loop_
_atom_site_label
_atom_site_fract_x
_atom_site_fract_y
_atom_site_fract_z
Dy1 0.000 0.500 0.249
Ga1 0.500 0.500 0.000
Si1 0.000 0.000 0.000
Si2 0.000 0.500 0.629
Pd1 0.000 0.000 0.500
Pd2 0.000 0.500 0.864
Pd3 0.500 0.500 0.500
# DFT total energy in Ry per atom: -0.4267
# Raw formation energy in eV per atom: -0.88

=====

# La5NdHo3 (GGA-PBE, relaxed)
data_La5NdHo3
_chemical_formula_sum 'La20 Nd4 Ho12'
_space_group_name_H-M_alt 'C 1 2/c 1'
_space_group_IT_number 15
_cell_length_a 18.993
_cell_length_b 6.606
_cell_length_c 11.475
_cell_angle_alpha 90.00
_cell_angle_beta 115.10
_cell_angle_gamma 90.00
loop_
_space_group_symop_operation_xyz
'x,y,z'
'-x,-y,-z'
'-x,y,-z+1/2'
'x,-y,z+1/2'
'x+1/2,y+1/2,z'
'-x+1/2,-y+1/2,-z'
'-x+1/2,y+1/2,-z+1/2'
'x+1/2,-y+1/2,z+1/2'
loop_
_atom_site_label
_atom_site_fract_x
_atom_site_fract_y
_atom_site_fract_z
La1 0.000 0.096 0.250
La2 0.169 0.196 0.713
La3 0.170 0.327 0.360
Nd1 0.000 0.363 0.750
Ho1 0.000 0.500 0.000
Ho2 0.160 0.208 0.014
# DFT total energy in Ry per atom: -0.3345
# Offset from the most stable computed form in meV/atom: 0
# Energy relative to the elements in eV/atom: 0.242

=====

# Cd2TcW (GGA-PBE, relaxed)
data_Cd2TcW
_chemical_formula_sum 'Cd4 Tc2 W2'
_space_group_name_H-M_alt 'C m m m'
_space_group_IT_number 65
_space_group_name_Hall '-C 2 2'
_cell_length_a 5.452
_cell_length_b 9.330
_cell_length_c 2.761
_cell_angle_alpha 90.00
_cell_angle_beta 90.00
_cell_angle_gamma 90.00
loop_
_atom_site_label
_atom_site_fract_x
_atom_site_fract_y
_atom_site_fract_z
Cd1 0.250 0.250 0.000
Tc1 0.000 0.000 0.500
W1 0.000 0.500 0.500
# DFT total energy in Ry per atom: -0.4146
# Offset from the most stable computed form in meV/atom: 388
# Energy relative to the elements in eV/atom: 0.647

=====

- What is the formula in the first record?
  Dy2GaSi3Pd4

=====

- What is the DFT total energy in the third record?
  -0.4146 Ry per atom